Entry 1:
PBE K2W, relaxed; spin magnetization = 0.1 μB/cell
1.0
-4.9144 0.6631 -5.8512
-0.6484 -5.8586 4.9075
-5.8282 5.2432 5.4893
K W
8 4
Direct
0.1885 0.8115 0.2500 K
0.0000 0.0000 0.0000 K
0.8115 0.1885 0.7500 K
0.0000 0.0000 0.5000 K
0.8115 0.6231 0.7500 K
0.6231 0.8115 0.2500 K
0.3769 0.1885 0.7500 K
0.1885 0.3769 0.2500 K
0.3333 0.6667 0.6395 W
0.6667 0.3333 0.3605 W
0.6667 0.3333 0.1395 W
0.3333 0.6667 0.8605 W

Entry 2:
PBE K2W, relaxed; spin magnetization = 12.0 μB/cell
1.0
0.0000 7.8660 7.8660
7.8660 0.0000 7.8660
7.8660 7.8660 0.0000
K W
4 2
Direct
0.3750 0.3750 0.8750 K
0.3750 0.3750 0.3750 K
0.8750 0.3750 0.3750 K
0.3750 0.8750 0.3750 K
0.2500 0.2500 0.2500 W
0.5000 0.5000 0.5000 W

Entry 3:
The following is a PBE calculation of a relaxed structure of KZn2, from the Open Quantum Materials Database.

POSCAR file:
```
KZn2
1.0
4.6055 -1.1183 -3.7811
5.2041 -2.2528 2.1443
-1.6528 -4.4748 -0.6898
Zn K
4 2
Direct
0.9174 0.4145 0.5000 Zn
0.6667 0.6667 0.0000 Zn
0.4145 0.6681 0.5000 Zn
0.6681 0.9173 0.5000 Zn
0.3333 0.3333 0.0000 K
0.0000 0.0000 0.0000 K
```

Entry 4:
The following is a PBE calculation of a relaxed structure of KZn, from the Open Quantum Materials Database.

POSCAR file:
```
KZn
1.0
6.5187 0.0000 0.0000
0.0000 14.9313 0.0000
0.0000 0.0000 5.1803
Zn K
8 8
Direct
0.4428 0.1549 0.0000 Zn
0.8906 0.6549 0.5000 Zn
0.2268 0.7500 0.5000 Zn
0.3040 0.2500 0.5000 Zn
0.0293 0.7500 0.0000 Zn
0.4428 0.3451 0.0000 Zn
0.8906 0.8451 0.5000 Zn
0.1065 0.2500 0.0000 Zn
0.3617 0.0045 0.5000 K
0.3617 0.4955 0.5000 K
0.5319 0.8569 0.0000 K
0.8015 0.1431 0.5000 K
0.9716 0.9955 0.0000 K
0.8015 0.3569 0.5000 K
0.5319 0.6431 0.0000 K
0.9716 0.5045 0.0000 K
```

Looking at uncorrected energy for the records above, in order, we have -3.499 -2.662 -0.994 -0.975 eV/atom.